Entry 1:
First-principles (PBEsol) data for a relaxed CaRuIO2 crystal, as listed in Alexandria.

Values from the calculation:
The total magnetic moment comes out at 0.02 μB per cell. The value obtained for the volume is 17.35 A^3/atom.

Unit cell a=4.0259 b=4.0259 c=5.3537 alpha=90.00 beta=90.00 gamma=90.00
With the nearest neighbours (Å) after each atom.
Atoms (fractional coordinates):
Ca 0.5000 0.5000 0.5000  4 I 2.85
O 0.5000 0.0000 0.0000  2 Ru 2.01
O 0.0000 0.5000 0.0000  2 Ru 2.01
I 0.0000 0.0000 0.5000  2 Ru 2.68, 4 Ca 2.85
Ru 0.0000 0.0000 0.0000  4 O 2.01

=====

Entry 2:
First-principles (PBEsol) data for a relaxed CaSb2IO crystal, as listed in Alexandria.

Values from the calculation:
The total magnetic moment comes out at 1.01 μB per cell. The value obtained for the volume is 38.15 A^3/atom.

Unit cell a=5.6936 b=5.7883 c=5.7883 alpha=90.00 beta=90.00 gamma=90.00
With the nearest neighbours (Å) after each atom.
Atoms (fractional coordinates):
Ca 0.0000 0.0000 0.0000  2 I 2.85, 4 Sb 2.89
Sb 0.0000 0.0000 0.5000  2 Ca 2.89
Sb 0.0000 0.5000 0.0000  2 Ca 2.89
O 0.5000 0.5000 0.5000  8 Sb 4.06, 4 I 4.09
I 0.5000 0.0000 0.0000  2 Ca 2.85

=====

Entry 3:
First-principles (PBEsol) data for a relaxed CaTcI2O crystal, as listed in Alexandria.

Values from the calculation:
The total magnetic moment comes out at 0.00 μB per cell. The value obtained for the volume is 23.39 A^3/atom.

Unit cell a=3.7656 b=5.5725 c=5.5725 alpha=90.00 beta=90.00 gamma=90.00
With the nearest neighbours (Å) after each atom.
Atoms (fractional coordinates):
O 0.5000 0.0000 0.0000  2 Tc 1.88
I 0.0000 0.0000 0.5000  2 Tc 2.79
I 0.0000 0.5000 0.0000  2 Tc 2.79
Ca 0.5000 0.5000 0.5000  8 I 3.36, 2 Ca 3.77
Tc 0.0000 0.0000 0.0000  2 O 1.88

=====

Entry 4:
First-principles (PBEsol) data for a relaxed CaTlI2O crystal, as listed in Alexandria.

Values from the calculation:
The total magnetic moment comes out at 1.01 μB per cell. The value obtained for the volume is 32.41 A^3/atom.

Unit cell a=4.2860 b=6.1493 c=6.1493 alpha=90.00 beta=90.00 gamma=90.00
With the nearest neighbours (Å) after each atom.
Atoms (fractional coordinates):
Ca 0.0000 0.0000 0.0000  2 O 2.14
I 0.0000 0.0000 0.5000  2 Ca 3.07
I 0.0000 0.5000 0.0000  2 Ca 3.07
Tl 0.5000 0.5000 0.5000  8 I 3.75
O 0.5000 0.0000 0.0000  2 Ca 2.14

=====

Entry 5:
First-principles (PBEsol) data for a relaxed CaZrI2O crystal, as listed in Alexandria.

Values from the calculation:
The total magnetic moment comes out at 2.37 μB per cell. The value obtained for the volume is 27.52 A^3/atom.

Unit cell a=3.9919 b=5.8708 c=5.8708 alpha=90.00 beta=90.00 gamma=90.00
With the nearest neighbours (Å) after each atom.
Atoms (fractional coordinates):
Ca 0.0000 0.0000 0.0000  2 O 2.00
O 0.5000 0.0000 0.0000  2 Ca 2.00
I 0.0000 0.0000 0.5000  2 Ca 2.94
I 0.0000 0.5000 0.0000  2 Ca 2.94
Zr 0.5000 0.5000 0.5000  8 I 3.55

=====

Entry 6:
First-principles (PBEsol) data for a relaxed CaScOsI2 crystal, as listed in Alexandria.

Values from the calculation:
The total magnetic moment comes out at 0.00 μB per cell. The value obtained for the volume is 29.14 A^3/atom.

Unit cell a=4.7744 b=5.5241 c=5.5241 alpha=90.00 beta=90.00 gamma=90.00
With the nearest neighbours (Å) after each atom.
Atoms (fractional coordinates):
I 0.0000 0.5000 0.0000  2 Os 2.76
I 0.0000 0.0000 0.5000  2 Os 2.76
Ca 0.5000 0.5000 0.5000  8 I 3.65, 4 Sc 3.91
Os 0.0000 0.0000 0.0000  2 Sc 2.39
Sc 0.5000 0.0000 0.0000  2 Os 2.39

=====

Entry 7:
First-principles (PBEsol) data for a relaxed Ca3PI crystal, as listed in Alexandria.

Values from the calculation:
The total magnetic moment comes out at 0.00 μB per cell. The value obtained for the volume is 35.08 A^3/atom.

Unit cell a=5.5978 b=5.5978 c=5.5978 alpha=90.00 beta=90.00 gamma=90.00
With the nearest neighbours (Å) after each atom.
Atoms (fractional coordinates):
Ca 0.0000 0.0000 0.5000  2 I 2.80
Ca 0.5000 0.0000 0.0000  2 I 2.80
Ca 0.0000 0.5000 0.0000  2 I 2.80
P 0.5000 0.5000 0.5000  12 Ca 3.96
I 0.0000 0.0000 0.0000  6 Ca 2.80

=====

Entry 8:
First-principles (PBEsol) data for a relaxed Ca2PI crystal, as listed in Alexandria.

Values from the calculation:
The total magnetic moment comes out at 0.00 μB per cell. The value obtained for the volume is 28.58 A^3/atom. For the excess energy over the best structure of this formula in the dataset, the calculation gives 0 meV per atom.

Unit cell a=4.2446 b=4.2446 c=7.7263 alpha=74.06 beta=74.06 gamma=60.00
With the nearest neighbours (Å) after each atom.
Atoms (fractional coordinates):
Ca 0.2305 0.2305 0.3086  3 P 2.82
Ca 0.7695 0.7695 0.6914  3 P 2.82
I 0.0000 0.0000 0.0000  6 Ca 3.33
P 0.5000 0.5000 0.5000  6 Ca 2.82

=====

Entry 9:
First-principles (PBEsol) data for a relaxed Ca2PI crystal, as listed in Alexandria.

Values from the calculation:
The total magnetic moment comes out at 0.00 μB per cell. The value obtained for the volume is 25.49 A^3/atom. For the excess energy over the best structure of this formula in the dataset, the calculation gives 397 meV per atom.

Unit cell a=5.2439 b=5.2439 c=5.2439 alpha=60.00 beta=60.00 gamma=60.00
With the nearest neighbours (Å) after each atom.
Atoms (fractional coordinates):
I 0.5000 0.5000 0.5000  8 Ca 3.21
Ca 0.7500 0.7500 0.7500  4 I 3.21, 4 P 3.21
Ca 0.2500 0.2500 0.2500  4 I 3.21, 4 P 3.21
P 0.0000 0.0000 0.0000  8 Ca 3.21

=====

Entry 10:
First-principles (PBEsol) data for a relaxed CaPbI4 crystal, as listed in Alexandria.

Values from the calculation:
The total magnetic moment comes out at 0.00 μB per cell. The value obtained for the volume is 40.88 A^3/atom.

Unit cell a=4.4703 b=14.0819 c=15.5855 alpha=90.00 beta=90.00 gamma=90.00
With the nearest neighbours (Å) after each atom.
Atoms (fractional coordinates):
I 0.0000 0.1324 0.2028  1 Ca 3.11, 2 Pb 3.21
I 0.5000 0.6324 0.7972  1 Ca 3.11, 2 Pb 3.21
I 0.0000 0.6269 0.0404  3 Ca 3.11
I 0.5000 0.3690 0.6232  3 Pb 3.20-3.22
I 0.0000 0.6368 0.5406  3 Pb 3.21-3.22
I 0.5000 0.1269 0.9596  3 Ca 3.11
I 0.0000 0.8690 0.3768  3 Pb 3.20-3.22
I 0.0000 0.8777 0.8771  3 Ca 3.11
I 0.0000 0.1286 0.7154  2 Ca 3.12, 1 Pb 3.20
I 0.0000 0.3731 0.3667  1 Ca 3.11, 2 Pb 3.21
I 0.5000 0.1368 0.4594  3 Pb 3.21-3.22
I 0.0000 0.3762 0.8784  2 Ca 3.12, 1 Pb 3.20
I 0.5000 0.8731 0.6333  1 Ca 3.11, 2 Pb 3.21
I 0.5000 0.8762 0.1216  2 Ca 3.12, 1 Pb 3.20
I 0.5000 0.6286 0.2846  2 Ca 3.12, 1 Pb 3.20
I 0.5000 0.3777 0.1229  3 Ca 3.11
Ca 0.5000 0.0021 0.7950  6 I 3.11-3.12
Ca 0.0000 0.0025 0.0417  6 I 3.11-3.12
Ca 0.0000 0.5021 0.2050  6 I 3.11-3.12
Ca 0.5000 0.5025 0.9583  6 I 3.11-3.12
Pb 0.0000 0.5026 0.7078  6 I 3.20-3.22
Pb 0.5000 0.5031 0.4558  6 I 3.20-3.22
Pb 0.5000 0.0026 0.2922  6 I 3.20-3.22
Pb 0.0000 0.0031 0.5442  6 I 3.20-3.22

=====

Entry 11:
First-principles (PBEsol) data for a relaxed CaPbI4 crystal, as listed in Alexandria.

Values from the calculation:
The total magnetic moment comes out at 0.00 μB per cell. The value obtained for the volume is 42.93 A^3/atom.

Unit cell a=4.6916 b=7.4095 c=7.4095 alpha=90.34 beta=90.00 gamma=90.00
With the nearest neighbours (Å) after each atom.
Atoms (fractional coordinates):
I 0.5000 0.7955 0.2045  1 Ca 3.11, 2 Pb 3.18
I 0.5000 0.2045 0.7955  1 Ca 3.11, 2 Pb 3.18
I 0.0000 0.3064 0.3064  2 Ca 3.10, 1 Pb 3.20
I 0.0000 0.6936 0.6936  2 Ca 3.10, 1 Pb 3.20
Pb 0.0000 0.0000 0.0000  6 I 3.18-3.20
Ca 0.5000 0.5000 0.5000  6 I 3.10-3.11

=====

Entry 12:
First-principles (PBEsol) data for a relaxed CaPbI4 crystal, as listed in Alexandria.

Values from the calculation:
The total magnetic moment comes out at 0.00 μB per cell. The value obtained for the volume is 40.88 A^3/atom.

Unit cell a=4.4742 b=7.0016 c=7.8308 alpha=90.47 beta=90.00 gamma=90.00
With the nearest neighbours (Å) after each atom.
Atoms (fractional coordinates):
I 0.5000 0.7398 0.1763  1 Ca 3.11, 2 Pb 3.20
I 0.5000 0.2602 0.8237  1 Ca 3.11, 2 Pb 3.20
I 0.0000 0.2537 0.3425  2 Ca 3.12, 1 Pb 3.20
I 0.0000 0.7463 0.6575  2 Ca 3.12, 1 Pb 3.20
Pb 0.0000 0.0000 0.0000  6 I 3.20
Ca 0.5000 0.0000 0.5000  6 I 3.11-3.12

=====

Entry 13:
First-principles (PBEsol) data for a relaxed CaPbI4 crystal, as listed in Alexandria.

Values from the calculation:
The total magnetic moment comes out at 0.00 μB per cell. The value obtained for the volume is 44.47 A^3/atom.

Unit cell a=7.8051 b=9.6102 c=14.3489 alpha=97.40 beta=90.00 gamma=90.00
With the nearest neighbours (Å) after each atom.
Atoms (fractional coordinates):
I 0.8142 0.9950 0.8172  2 Ca 3.10-3.14, 1 Pb 3.13
I 0.1858 0.0050 0.1828  2 Ca 3.10-3.14, 1 Pb 3.13
I 0.1375 0.8202 0.4293  2 Ca 3.07-3.14, 1 Pb 3.19
I 0.0592 0.6252 0.7211  1 Ca 3.11, 2 Pb 3.24-3.25
I 0.6440 0.7067 0.5383  1 Pb 3.00, 1 Ca 3.09
I 0.6375 0.1798 0.0707  2 Ca 3.07-3.14, 1 Pb 3.19
I 0.3625 0.8202 0.9293  2 Ca 3.07-3.14, 1 Pb 3.19
I 0.3142 0.0050 0.6828  2 Ca 3.10-3.14, 1 Pb 3.13
I 0.3560 0.2933 0.4617  1 Pb 3.00, 1 Ca 3.09
I 0.6858 0.9950 0.3172  2 Ca 3.10-3.14, 1 Pb 3.13
I 0.4408 0.6252 0.2211  1 Ca 3.11, 2 Pb 3.24-3.25
I 0.8560 0.7067 0.0383  1 Pb 3.00, 1 Ca 3.09
I 0.5592 0.3748 0.7789  1 Ca 3.11, 2 Pb 3.24-3.25
I 0.1440 0.2933 0.9617  1 Pb 3.00, 1 Ca 3.09
I 0.9408 0.3748 0.2789  1 Ca 3.11, 2 Pb 3.24-3.25
I 0.8625 0.1798 0.5707  2 Ca 3.07-3.14, 1 Pb 3.19
Pb 0.7117 0.6874 0.8434  5 I 3.00-3.25
Pb 0.7883 0.6874 0.3434  5 I 3.00-3.25
Pb 0.2117 0.3126 0.6566  5 I 3.00-3.25
Pb 0.2883 0.3126 0.1566  5 I 3.00-3.25
Ca 0.5455 0.8801 0.1198  6 I 3.07-3.14
Ca 0.4545 0.1199 0.8802  6 I 3.07-3.14
Ca 0.9545 0.8801 0.6198  6 I 3.07-3.14
Ca 0.0455 0.1199 0.3802  6 I 3.07-3.14

=====

Quick rundown of E_tot, same order as above: -5.662 -2.792 -5.195 -3.673 -4.492 -4.678 -2.702 -4.376 -3.979 -3.307 -3.254 -3.308 -3.237 eV per atom
Quick rundown of DOS at the Fermi energy, same order as above: 3.755 8.823 2.516 4.264 5.548 4.807 5.510 0.000 0.161 0.000 0.000 0.000 0.000 states/eV/f.u.